Pa8FeIr5 PBE relaxed; formation energy from the elements = -0.579 eV/atom; symmetry = No. 82; DOS at the Fermi energy = 24.5 states/eV/f.u.
1.0
6.9988 0.0000 -2.3411
-3.5230 5.9754 -2.5194
0.0472 0.0000 7.3798
Ir Pa Fe
5 8 1
direct
0.7602 0.6441 0.6299
0.5000 0.0000 0.5000
0.8839 0.8697 0.2398
0.9858 0.3559 0.1161
0.3701 0.1303 0.0142
0.5059 0.6307 0.2493
0.6027 0.8588 0.8746
0.0158 0.1412 0.7439
0.6186 0.3693 0.8752
0.1248 0.7433 0.4941
0.2561 0.2719 0.3973
0.7507 0.2567 0.3814
0.1254 0.7281 0.9842
0.2500 0.5000 0.7500